[1]
The following is a GGA-PBE calculation of a relaxed Lu2CdFe crystal, from Alexandria.

Cell: 3.311 3.311 7.643 Å, 90.00 90.00 90.00°
Sites, in units of the cell vectors:
Lu1 0.000 0.000 0.795
Lu2 0.000 0.000 0.205
Fe1 0.500 0.500 0.000
Cd1 0.500 0.500 0.500

Results
Calculated density in Mg/m³: 10.272
E_form in eV per atom: -0.17
Density of states at the Fermi level in states/eV/f.u.: 2.89
Polymorph energy (0 for the lowest one) in meV/atom: 0


[2]
The following is a GGA-PBE calculation of a relaxed Lu2CdFe crystal, from Alexandria.

Cell: 4.951 4.951 4.951 Å, 60.00 60.00 60.00°
Sites, in units of the cell vectors:
Lu1 0.250 0.250 0.250
Lu2 0.750 0.750 0.750
Fe1 0.500 0.500 0.500
Cd1 0.000 0.000 0.000

Results
Calculated density in Mg/m³: 10.026
E_form in eV per atom: -0.03
Density of states at the Fermi level in states/eV/f.u.: 8.45
Polymorph energy (0 for the lowest one) in meV/atom: 146


[3]
The following is a GGA-PBE calculation of a relaxed Lu2CdFe crystal, from Alexandria.

Cell: 3.434 5.034 5.034 Å, 90.00 90.00 90.00°
Sites, in units of the cell vectors:
Lu1 0.000 0.000 0.500
Lu2 0.000 0.500 0.000
Fe1 0.500 0.500 0.500
Cd1 0.500 0.000 0.000

Results
Calculated density in Mg/m³: 9.885
E_form in eV per atom: -0.02
Density of states at the Fermi level in states/eV/f.u.: 5.42
Polymorph energy (0 for the lowest one) in meV/atom: 153


[4]
The following is a GGA-PBE calculation of a relaxed Lu3CdFe crystal, from Alexandria.

Cell: 5.057 5.057 5.057 Å, 90.00 90.00 90.00°
Sites, in units of the cell vectors:
Lu1 0.000 0.500 0.000
Lu2 0.000 0.000 0.500
Lu3 0.500 0.000 0.000
Fe1 0.000 0.000 0.000
Cd1 0.500 0.500 0.500

Results
Calculated density in Mg/m³: 8.901
E_form in eV per atom: 0.00
Density of states at the Fermi level in states/eV/f.u.: 3.14


[5]
The following is a GGA-PBE calculation of a relaxed LuScCdFe crystal, from Alexandria.

Cell: 4.843 4.843 4.843 Å, 60.00 60.00 60.00°
Sites, in units of the cell vectors:
Sc1 0.750 0.750 0.750
Lu1 0.250 0.250 0.250
Fe1 0.000 0.000 0.000
Cd1 0.500 0.500 0.500

Results
Calculated density in Mg/m³: 8.026
E_form in eV per atom: -0.04
Density of states at the Fermi level in states/eV/f.u.: 6.50


[6]
The following is a GGA-PBE calculation of a relaxed TmLuCdFe crystal, from Alexandria.

Cell: 4.970 4.970 4.970 Å, 60.00 60.00 60.00°
Sites, in units of the cell vectors:
Lu1 0.500 0.500 0.500
Tm1 0.000 0.000 0.000
Fe1 0.750 0.750 0.750
Cd1 0.250 0.250 0.250

Results
Calculated density in Mg/m³: 9.795
E_form in eV per atom: -0.03
Density of states at the Fermi level in states/eV/f.u.: 8.22


[7]
The following is a GGA-PBE calculation of a relaxed Mg2CdFe crystal, from Alexandria.

Cell: 9.913 9.913 9.913 Å, 17.37 17.37 17.37°
Sites, in units of the cell vectors:
Cd1 0.492 0.492 0.492
Fe1 0.749 0.749 0.749
Mg1 0.009 0.009 0.009
Mg2 0.250 0.250 0.250

Results
Calculated density in Mg/m³: 4.752
E_form in eV per atom: 0.23
Density of states at the Fermi level in states/eV/f.u.: 2.68


[8]
The following is a GGA-PBE calculation of a relaxed MgCdFe2 crystal, from Alexandria.

Cell: 7.173 7.173 5.726 Å, 51.22 51.22 90.00°
Sites, in units of the cell vectors:
Mg1 0.500 0.500 0.000
Mg2 0.250 0.750 0.500
Fe1 0.625 0.125 0.250
Fe2 0.125 0.625 0.250
Fe3 0.375 0.375 0.750
Fe4 0.875 0.875 0.750
Cd1 0.000 0.000 0.000
Cd2 0.750 0.250 0.500

Results
Calculated density in Mg/m³: 6.036
E_form in eV per atom: 0.66
Density of states at the Fermi level in states/eV/f.u.: 4.34